# 1
This record from OQMD via LeMat-Bulk describes a relaxed RbGdCoS3 crystal. The functional is PBE-GGA.

Summary:
The final energy is -5.465 eV per atom.

a = 10.5900 Å, b = 3.9681 Å, c = 14.7165 Å
α = 90.00°, β = 90.00°, γ = 90.00°
With the nearest neighbours (Å) after each atom.
Element x y z (fractional)
Rb  0.2343  0.2500  0.0114  7 S 3.39-3.57
Rb  0.2657  0.7500  0.5114  7 S 3.39-3.57
Rb  0.7343  0.2500  0.4886  7 S 3.39-3.57
Rb  0.7657  0.7500  0.9886  7 S 3.39-3.57
Gd  0.0118  0.7500  0.2542  6 S 2.75-2.76
Gd  0.4882  0.2500  0.7542  6 S 2.75-2.76
Gd  0.5118  0.7500  0.2458  6 S 2.75-2.76
Gd  0.9882  0.2500  0.7458  6 S 2.75-2.76
Co  0.2378  0.7500  0.7850  4 S 2.26-2.37
Co  0.2622  0.2500  0.2850  4 S 2.26-2.37
Co  0.7378  0.7500  0.7150  4 S 2.26-2.37
Co  0.7622  0.2500  0.2150  4 S 2.26-2.37
S  0.0573  0.7500  0.8665  1 Co 2.26
S  0.0866  0.2500  0.3719  1 Co 2.26
S  0.2397  0.2500  0.6969  2 Co 2.37
S  0.2603  0.7500  0.1969  2 Co 2.37
S  0.4134  0.7500  0.8719  1 Co 2.26
S  0.4427  0.2500  0.3665  1 Co 2.26
S  0.5573  0.7500  0.6335  1 Co 2.26
S  0.5866  0.2500  0.1281  1 Co 2.26
S  0.7397  0.2500  0.8031  2 Co 2.37
S  0.7603  0.7500  0.3031  2 Co 2.37
S  0.9134  0.7500  0.6281  1 Co 2.26
S  0.9427  0.2500  0.1335  1 Co 2.26

=====

# 2
This record from OQMD via LeMat-Bulk describes a relaxed RbGdCoS3 crystal. The functional is PBE-GGA.

Summary:
The final energy is -5.464 eV per atom.

a = 7.6718 Å, b = 7.6718 Å, c = 10.4991 Å
α = 90.00°, β = 90.00°, γ = 150.21°
With the nearest neighbours (Å) after each atom.
Element x y z (fractional)
Rb  0.2404  0.7596  0.7500  6 S 3.38-3.43
Rb  0.7596  0.2404  0.2500  6 S 3.38-3.43
Gd  0.5000  0.5000  0.0000  6 S 2.75
Gd  0.5000  0.5000  0.5000  6 S 2.75
Co  0.0341  0.9659  0.2500  4 S 2.26-2.37
Co  0.9659  0.0341  0.7500  4 S 2.26-2.37
S  0.1190  0.8810  0.0718  1 Co 2.26
S  0.1190  0.8810  0.4282  1 Co 2.26
S  0.4450  0.5550  0.2500  2 Co 2.37
S  0.5550  0.4450  0.7500  2 Co 2.37
S  0.8810  0.1190  0.5718  1 Co 2.26
S  0.8810  0.1190  0.9282  1 Co 2.26

=====

# 3
This record from OQMD via LeMat-Bulk describes a relaxed RbGdCoTe3 crystal. The functional is PBE-GGA.

Summary:
The final energy is -4.466 eV per atom.

a = 12.3456 Å, b = 4.5214 Å, c = 13.6286 Å
α = 90.00°, β = 90.00°, γ = 90.00°
With the nearest neighbours (Å) after each atom.
Element x y z (fractional)
Rb  0.1824  0.2500  0.0034  7 Te 3.61-3.68, 2 Co 3.71
Rb  0.3176  0.7500  0.5034  7 Te 3.61-3.68, 2 Co 3.71
Rb  0.6824  0.2500  0.4966  7 Te 3.61-3.68, 2 Co 3.71
Rb  0.8176  0.7500  0.9966  7 Te 3.61-3.68, 2 Co 3.71
Gd  0.0230  0.2500  0.6799  7 Te 3.11-3.47
Gd  0.4770  0.7500  0.1799  7 Te 3.11-3.47
Gd  0.5230  0.2500  0.8201  7 Te 3.11-3.47
Gd  0.9770  0.7500  0.3201  7 Te 3.11-3.47
Co  0.2481  0.2500  0.2970  4 Te 2.55-2.61
Co  0.2519  0.7500  0.7970  4 Te 2.55-2.61
Co  0.7481  0.2500  0.2030  4 Te 2.55-2.61
Co  0.7519  0.7500  0.7030  4 Te 2.55-2.61
Te  0.0496  0.7500  0.8348  1 Co 2.55
Te  0.1013  0.2500  0.4352  1 Co 2.61
Te  0.2178  0.7500  0.2145  2 Co 2.55
Te  0.2822  0.2500  0.7145  2 Co 2.55
Te  0.3987  0.7500  0.9352  1 Co 2.61
Te  0.4504  0.2500  0.3348  1 Co 2.55
Te  0.5496  0.7500  0.6652  1 Co 2.55
Te  0.6013  0.2500  0.0648  1 Co 2.61
Te  0.7178  0.7500  0.2855  2 Co 2.55
Te  0.7822  0.2500  0.7855  2 Co 2.55
Te  0.8987  0.7500  0.5648  1 Co 2.61
Te  0.9504  0.2500  0.1652  1 Co 2.55

=====

# 4
This record from OQMD via LeMat-Bulk describes a relaxed RbGdCoTe3 crystal. The functional is PBE-GGA.

Summary:
The final energy is -4.534 eV per atom.

a = 8.6789 Å, b = 8.6789 Å, c = 11.4667 Å
α = 90.00°, β = 90.00°, γ = 151.39°
With the nearest neighbours (Å) after each atom.
Element x y z (fractional)
Rb  0.2459  0.7541  0.7500  6 Te 3.71-3.72
Rb  0.7541  0.2459  0.2500  6 Te 3.71-3.72
Gd  0.5000  0.5000  0.0000  6 Te 3.07-3.08
Gd  0.5000  0.5000  0.5000  6 Te 3.07-3.08
Co  0.0276  0.9724  0.2500  4 Te 2.59-2.65
Co  0.9724  0.0276  0.7500  4 Te 2.59-2.65
Te  0.1217  0.8783  0.0716  1 Co 2.59
Te  0.1217  0.8783  0.4284  1 Co 2.59
Te  0.4350  0.5650  0.2500  2 Co 2.65
Te  0.5650  0.4350  0.7500  2 Co 2.65
Te  0.8783  0.1217  0.5716  1 Co 2.59
Te  0.8783  0.1217  0.9284  1 Co 2.59

=====

# 5
This record from OQMD via LeMat-Bulk describes a relaxed GdCoRe crystal. The functional is PBE-GGA.

Summary:
The calculation puts the energy relative to the elements at 1.641 eV per atom.

a = 4.3486 Å, b = 4.3486 Å, c = 4.3486 Å
α = 60.00°, β = 60.00°, γ = 60.00°
With the nearest neighbours (Å) after each atom.
Element x y z (fractional)
Gd  0.0000  0.0000  0.0000  4 Re 2.66, 4 Co 2.66
Co  0.7500  0.7500  0.7500  4 Gd 2.66
Re  0.2500  0.2500  0.2500  4 Gd 2.66

=====

# 6
This record from OQMD via LeMat-Bulk describes a relaxed Gd4CoS7 crystal. The functional is PBE-GGA.

Summary:
The final energy is -6.181 eV per atom.

a = 9.5799 Å, b = 6.6270 Å, c = 9.5835 Å
α = 90.00°, β = 119.97°, γ = 90.00°
With the nearest neighbours (Å) after each atom.
Element x y z (fractional)
Gd  0.1281  0.0000  0.2837  6 S 2.68-2.88
Gd  0.1652  0.0475  0.8338  4 S 2.58-2.60
Gd  0.2837  0.4986  0.6555  6 S 2.68-2.89
Gd  0.3448  0.4995  0.1281  6 S 2.68-2.89
Gd  0.6552  0.9995  0.8719  6 S 2.68-2.89
Gd  0.7163  0.9986  0.3445  6 S 2.68-2.89
Gd  0.8348  0.5475  0.1662  4 S 2.58-2.60
Gd  0.8719  0.5000  0.7163  6 S 2.68-2.88
Co  0.5000  0.1470  0.5001  6 S 2.42-2.50
Co  0.5000  0.6470  0.4999  6 S 2.42-2.50
S  0.0083  0.2545  0.5696  3 Gd 2.60-2.86
S  0.0604  0.2566  0.9920  3 Gd 2.60-2.86
S  0.1671  0.6585  0.8332  4 Gd 2.58-2.68
S  0.2811  0.3901  0.3769  2 Co 2.43-2.49
S  0.3773  0.8896  0.5953  2 Co 2.42-2.49
S  0.4040  0.8900  0.2807  2 Co 2.43-2.50
S  0.4296  0.2535  0.9386  3 Gd 2.60-2.86
S  0.5704  0.7535  0.0614  3 Gd 2.60-2.86
S  0.5960  0.3900  0.7193  2 Co 2.43-2.50
S  0.6227  0.3896  0.4047  2 Co 2.42-2.49
S  0.7189  0.8901  0.6231  2 Co 2.43-2.49
S  0.8329  0.1585  0.1668  4 Gd 2.58-2.68
S  0.9396  0.7566  0.0080  3 Gd 2.60-2.86
S  0.9917  0.7545  0.4304  3 Gd 2.60-2.86

=====

Number 1: size of the total moment 12.00 μB/cell. Number 2: size of the total moment 5.99 μB/cell. Number 3: size of the total moment 8.55 μB/cell. Number 4: size of the total moment 5.35 μB/cell. Number 5: size of the total moment 2.82 μB/cell. Number 6: size of the total moment 2.00 μB/cell.